Version a
Here is a relaxed structure of KTeI2F from Alexandria. Energies are from PBE.

- SG = P4/mmm
- crystal system = tetragonal
- size of the total moment (μB per formula unit) = 2.9

Unit cell a=6.557 b=6.557 c=7.253 alpha=90.00 beta=90.00 gamma=90.00
Fractional positions:
I: 0.000 0.500 0.000
I: 0.500 0.000 0.000
K: 0.000 0.000 0.000
Te: 0.000 0.000 0.500
F: 0.500 0.500 0.500

Version b
Here is a relaxed structure of KTeI2F from Alexandria. Energies are from PBE.

- SG = P4/mmm
- crystal system = tetragonal
- size of the total moment (μB per formula unit) = 1.0

Unit cell a=6.342 b=6.342 c=4.274 alpha=90.00 beta=90.00 gamma=90.00
Fractional positions:
I: 0.000 0.500 0.000
I: 0.500 0.000 0.000
K: 0.500 0.500 0.500
Te: 0.000 0.000 0.500
F: 0.000 0.000 0.000

Stability, lowest: version a

Version a
Here is a relaxed structure of LaIF2 from Alexandria. Energies are from PBE.

- SG = Fm-3m
- crystal system = cubic
- size of the total moment (μB per formula unit) = 0.0

Unit cell a=4.779 b=4.779 c=4.779 alpha=60.00 beta=60.00 gamma=60.00
Fractional positions:
I: 0.000 0.000 0.000
F: 0.250 0.250 0.250
F: 0.750 0.750 0.750
La: 0.500 0.500 0.500

Version b
Here is a relaxed structure of LaIF2 from Alexandria. Energies are from PBE.

- SG = Pnma
- crystal system = orthorhombic
- size of the total moment (μB per formula unit) = 0.0

Unit cell a=6.344 b=7.304 c=16.481 alpha=90.00 beta=90.00 gamma=90.00
Fractional positions:
La: 0.330 0.250 0.336
La: 0.830 0.750 0.164
La: 0.670 0.750 0.664
La: 0.170 0.250 0.836
La: 0.977 0.250 0.071
La: 0.477 0.750 0.429
La: 0.023 0.750 0.929
La: 0.523 0.250 0.571
I: 0.477 0.250 0.144
I: 0.977 0.750 0.356
I: 0.523 0.750 0.856
I: 0.023 0.250 0.644
I: 0.828 0.250 0.400
I: 0.328 0.750 0.100
I: 0.172 0.750 0.600
I: 0.672 0.250 0.900
F: 0.964 0.047 0.184
F: 0.464 0.953 0.316
F: 0.036 0.547 0.816
F: 0.536 0.453 0.684
F: 0.036 0.953 0.816
F: 0.536 0.047 0.684
F: 0.964 0.453 0.184
F: 0.464 0.547 0.316
F: 0.846 0.572 0.041
F: 0.346 0.428 0.459
F: 0.154 0.072 0.959
F: 0.654 0.928 0.541
F: 0.154 0.428 0.959
F: 0.654 0.572 0.541
F: 0.846 0.928 0.041
F: 0.346 0.072 0.459

Stability, lowest: version a

Version a
Here is a relaxed structure of LaIF2 from Alexandria. Energies are from PBE.

- SG = Cmcm
- crystal system = orthorhombic
- size of the total moment (μB per formula unit) = 0.0

Unit cell a=4.088 b=6.398 c=7.396 alpha=90.00 beta=90.00 gamma=108.66
Fractional positions:
La: 0.763 0.526 0.750
La: 0.237 0.474 0.250
I: 0.955 0.908 0.250
I: 0.045 0.092 0.750
F: 0.303 0.607 0.571
F: 0.697 0.393 0.429
F: 0.303 0.607 0.929
F: 0.697 0.393 0.071

Version b
Here is a relaxed structure of LaIF2 from Alexandria. Energies are from PBE.

- SG = R-3m
- crystal system = trigonal
- size of the total moment (μB per formula unit) = 0.0

Unit cell a=11.015 b=11.015 c=11.015 alpha=19.77 beta=19.77 gamma=19.77
Fractional positions:
I: 0.500 0.500 0.500
F: 0.936 0.936 0.936
F: 0.064 0.064 0.064
La: 0.000 0.000 0.000

Stability, lowest: version b

Version a
Here is a relaxed structure of LaIF2 from Alexandria. Energies are from PBE.

- SG = I4_1/amd
- crystal system = tetragonal
- size of the total moment (μB per formula unit) = 0.0

Unit cell a=5.323 b=5.323 c=8.339 alpha=71.39 beta=71.39 gamma=90.00
Fractional positions:
I: 0.500 0.500 0.000
I: 0.250 0.750 0.500
F: 0.875 0.125 0.250
F: 0.875 0.625 0.250
F: 0.375 0.125 0.750
F: 0.875 0.125 0.750
La: 0.000 0.000 0.000
La: 0.750 0.250 0.500

Version b
Here is a relaxed structure of LaIF2 from Alexandria. Energies are from PBE.

- SG = R-3m
- crystal system = trigonal
- size of the total moment (μB per formula unit) = 0.0

Unit cell a=6.211 b=6.211 c=6.211 alpha=39.41 beta=39.41 gamma=39.41
Fractional positions:
I: 0.000 0.000 0.000
F: 0.806 0.806 0.806
F: 0.194 0.194 0.194
La: 0.500 0.500 0.500

Stability, lowest: version a

Version a
Here is a relaxed structure of LaI2F from Alexandria. Energies are from PBE.

- SG = I-42d
- crystal system = tetragonal
- size of the total moment (μB per formula unit) = 0.0

Unit cell a=5.295 b=5.295 c=10.669 alpha=75.63 beta=75.63 gamma=90.00
Fractional positions:
I: 0.624 0.125 0.250
I: 0.126 0.625 0.250
I: 0.375 0.376 0.750
I: 0.875 0.874 0.750
F: 0.500 0.500 0.000
F: 0.250 0.750 0.500
La: 0.000 0.000 0.000
La: 0.750 0.250 0.500

Version b
Here is a relaxed structure of LaI2F from Alexandria. Energies are from PBE.

- SG = R3m
- crystal system = trigonal
- size of the total moment (μB per formula unit) = 0.0

Unit cell a=4.319 b=4.319 c=8.887 alpha=90.01 beta=104.06 gamma=120.00
Fractional positions:
La: 0.708 0.604 0.313
I: 0.201 0.850 0.051
I: 0.549 0.025 0.574
F: 0.042 0.271 0.312

Version c
Here is a relaxed structure of LaI2F from Alexandria. Energies are from PBE.

- SG = Fm-3m
- crystal system = cubic
- size of the total moment (μB per formula unit) = 0.0

Unit cell a=5.405 b=5.405 c=5.405 alpha=60.00 beta=60.00 gamma=60.00
Fractional positions:
I: 0.250 0.250 0.250
I: 0.750 0.750 0.750
F: 0.000 0.000 0.000
La: 0.500 0.500 0.500

Stability, lowest: version a

Version a
Here is a relaxed structure of LaI2NF from Alexandria. Energies are from PBE.

- SG = P4/mmm
- crystal system = tetragonal
- size of the total moment (μB per formula unit) = 2.3

Unit cell a=6.555 b=6.555 c=4.179 alpha=90.00 beta=90.00 gamma=90.00
Fractional positions:
I: 0.000 0.500 0.000
I: 0.500 0.000 0.000
N: 0.000 0.000 0.500
F: 0.500 0.500 0.500
La: 0.000 0.000 0.000

Version b
Here is a relaxed structure of LaI2NF from Alexandria. Energies are from PBE.

- SG = P4/mmm
- crystal system = tetragonal
- size of the total moment (μB per formula unit) = 2.2

Unit cell a=5.783 b=5.783 c=3.893 alpha=90.00 beta=90.00 gamma=90.00
Fractional positions:
I: 0.000 0.500 0.000
I: 0.500 0.000 0.000
N: 0.000 0.000 0.500
F: 0.000 0.000 0.000
La: 0.500 0.500 0.500

Stability, lowest: version b